No. 1
# KZnAs2 | Alexandria | PBE-GGA | optimized geometry
data_KZnAs2
_chemical_formula_sum 'K1 Zn1 As2'
_cell_length_a 6.216
_cell_length_b 6.216
_cell_length_c 6.216
_cell_angle_alpha 145.99
_cell_angle_beta 125.77
_cell_angle_gamma 65.58
_symmetry_space_group_name_H-M 'P 1'
_symmetry_Int_Tables_number 1
loop_
_symmetry_equiv_pos_as_xyz
'x,y,z'
loop_
_atom_site_label
_atom_site_type_symbol
_atom_site_fract_x
_atom_site_fract_y
_atom_site_fract_z
_atom_site_occupancy
K1 K 0.516 0.516 0.000 1
Zn1 Zn 0.212 0.712 0.500 1
As1 As 0.806 0.306 0.500 1
As2 As 0.965 0.965 0.000 1
# * magnetic moment: 0.00 μB/f.u.
# * symmetry: Imm2, No. 44
# * DFT total energy: -2.95 eV/atom

No. 2
# KZn4As3 | Alexandria | PBE-GGA | optimized geometry
data_KZn4As3
_chemical_formula_sum 'K1 Zn4 As3'
_cell_length_a 4.219
_cell_length_b 4.219
_cell_length_c 11.995
_cell_angle_alpha 79.87
_cell_angle_beta 79.87
_cell_angle_gamma 60.00
_symmetry_space_group_name_H-M 'P 1'
_symmetry_Int_Tables_number 1
loop_
_symmetry_equiv_pos_as_xyz
'x,y,z'
loop_
_atom_site_label
_atom_site_type_symbol
_atom_site_fract_x
_atom_site_fract_y
_atom_site_fract_z
_atom_site_occupancy
Zn1 Zn 0.697 0.697 0.910 1
Zn2 Zn 0.915 0.915 0.254 1
Zn3 Zn 0.303 0.303 0.090 1
Zn4 Zn 0.085 0.085 0.746 1
As1 As 0.000 0.000 0.000 1
As2 As 0.233 0.233 0.300 1
As3 As 0.767 0.767 0.700 1
K1 K 0.500 0.500 0.500 1
# * magnetic moment: 0.00 μB/f.u.
# * symmetry: R-3m, No. 166
# * DFT total energy: -2.80 eV/atom

No. 3
# KZn2As | Alexandria | PBE-GGA | optimized geometry
data_KZn2As
_chemical_formula_sum 'K1 Zn2 As1'
_cell_length_a 3.110
_cell_length_b 3.882
_cell_length_c 7.498
_cell_angle_alpha 90.00
_cell_angle_beta 90.00
_cell_angle_gamma 90.00
_symmetry_space_group_name_H-M 'P 1'
_symmetry_Int_Tables_number 1
loop_
_symmetry_equiv_pos_as_xyz
'x,y,z'
loop_
_atom_site_label
_atom_site_type_symbol
_atom_site_fract_x
_atom_site_fract_y
_atom_site_fract_z
_atom_site_occupancy
Zn1 Zn 0.000 0.000 0.077 1
Zn2 Zn 0.500 0.500 0.255 1
As1 As 0.000 0.000 0.426 1
K1 K 0.500 0.500 0.742 1
# * magnetic moment: 0.00 μB/f.u.
# * symmetry: Pmm2, No. 25
# * DFT total energy: -2.06 eV/atom

No. 4
# KZnAs2 | Alexandria | PBE-GGA | optimized geometry
data_KZnAs2
_chemical_formula_sum 'K1 Zn1 As2'
_cell_length_a 3.761
_cell_length_b 4.192
_cell_length_c 7.226
_cell_angle_alpha 67.27
_cell_angle_beta 90.00
_cell_angle_gamma 90.00
_symmetry_space_group_name_H-M 'P 1'
_symmetry_Int_Tables_number 1
loop_
_symmetry_equiv_pos_as_xyz
'x,y,z'
loop_
_atom_site_label
_atom_site_type_symbol
_atom_site_fract_x
_atom_site_fract_y
_atom_site_fract_z
_atom_site_occupancy
As1 As 0.000 0.507 0.596 1
As2 As 0.000 0.993 0.904 1
Zn1 Zn 0.500 0.750 0.750 1
K1 K 0.500 0.250 0.250 1
# * magnetic moment: 0.00 μB/f.u.
# * symmetry: P2/m, No. 10
# * DFT total energy: -3.07 eV/atom